(1)
Entry from the Alexandria database: a relaxed structure of ZrAl2GaB (GGA-PBE).

symmetry = P4/mmm, No. 123
N(E_F) = 3.15 states/eV/cell
calculated total energy = -4.8634 eV/atom

abc: 4.1081 4.9493 4.1081
angles: 90.00 90.00 90.00
Closest atoms and distances in Å follow each position.
Atoms (fractional coordinates):
B: 0.0000 0.0000 0.0000  4 Al 2.05
Ga: 0.0000 0.5000 0.0000  2 B 2.47
Zr: 0.5000 0.5000 0.5000  4 Ga 2.90, 8 Al 3.22
Al: 0.0000 0.0000 0.5000  2 B 2.05
Al: 0.5000 0.0000 0.0000  2 B 2.05

---

(2)
Entry from the Alexandria database: a relaxed structure of AcPm6Pr8 (GGA-PBE).

polymorph energy (0 for the lowest one) = 0 meV per atom
symmetry = R-3, No. 148
N(E_F) = 23.13 states/eV/cell

abc: 9.5972 9.5972 8.8064
angles: 56.98 56.98 60.00
Closest atoms and distances in Å follow each position.
Atoms (fractional coordinates):
Ac: 0.0000 0.0000 0.0000  6 Pm 3.64, 6 Pr 3.99
Pm: 0.4476 0.8946 0.9276  3 Pr 3.26-3.57, 1 Pm 3.60, 1 Ac 3.64
Pm: 0.1054 0.2698 0.0724  3 Pr 3.26-3.57, 1 Pm 3.60, 1 Ac 3.64
Pm: 0.2698 0.5524 0.0724  3 Pr 3.26-3.57, 1 Pm 3.60, 1 Ac 3.64
Pm: 0.7302 0.4476 0.9276  3 Pr 3.26-3.57, 1 Pm 3.60, 1 Ac 3.64
Pm: 0.8946 0.7302 0.9276  3 Pr 3.26-3.57, 1 Pm 3.60, 1 Ac 3.64
Pm: 0.5524 0.1054 0.0724  3 Pr 3.26-3.57, 1 Pm 3.60, 1 Ac 3.64
Pr: 0.3490 0.2263 0.5066  7 Pr 3.54-3.86, 3 Pm 3.57-3.77
Pr: 0.7737 0.0819 0.4934  7 Pr 3.54-3.86, 3 Pm 3.57-3.77
Pr: 0.0819 0.6510 0.4934  7 Pr 3.54-3.86, 3 Pm 3.57-3.77
Pr: 0.5724 0.5724 0.2827  1 Pr 2.97, 3 Pm 3.26
Pr: 0.4276 0.4276 0.7173  1 Pr 2.97, 3 Pm 3.26
Pr: 0.9181 0.3490 0.5066  7 Pr 3.54-3.86, 3 Pm 3.57-3.77
Pr: 0.2263 0.9181 0.5066  7 Pr 3.54-3.86, 3 Pm 3.57-3.77
Pr: 0.6510 0.7737 0.4934  7 Pr 3.54-3.86, 3 Pm 3.57-3.77

---

(3)
Entry from the Alexandria database: a relaxed structure of BaRe2Au (GGA-PBE).

polymorph energy (0 for the lowest one) = 1354 meV per atom
symmetry = Fm-3m, No. 225
N(E_F) = 4.48 states/eV/cell

abc: 4.7887 4.7887 4.7887
angles: 60.00 60.00 60.00
Closest atoms and distances in Å follow each position.
Atoms (fractional coordinates):
Re: 0.2500 0.2500 0.2500  4 Au 2.93, 4 Ba 2.93
Re: 0.7500 0.7500 0.7500  4 Ba 2.93, 4 Au 2.93
Au: 0.5000 0.5000 0.5000  8 Re 2.93
Ba: 0.0000 0.0000 0.0000  8 Re 2.93

---

(4)
Entry from the Alexandria database: a relaxed structure of SrZnSn2I (GGA-PBE).

E_form (uncorrected) = -195 meV per atom
symmetry = P4/mmm, No. 123
N(E_F) = 4.24 states/eV/cell

abc: 5.1031 6.6790 5.1031
angles: 90.00 90.00 90.00
Closest atoms and distances in Å follow each position.
Atoms (fractional coordinates):
I: 0.5000 0.5000 0.5000  4 Sr 3.61
Sr: 0.0000 0.5000 0.0000  2 Zn 3.34, 4 I 3.61
Zn: 0.0000 0.0000 0.0000  4 Sn 2.55
Sn: 0.0000 0.0000 0.5000  2 Zn 2.55
Sn: 0.5000 0.0000 0.0000  2 Zn 2.55

---

(5)
Entry from the Alexandria database: a relaxed structure of RbScMnI6 (GGA-PBE).

E_form (uncorrected) = -1021 meV per atom
symmetry = P-31c, No. 163
N(E_F) = 0.00 states/eV/cell

abc: 7.5435 7.5435 16.5478
angles: 90.00 90.00 120.00
Closest atoms and distances in Å follow each position.
Atoms (fractional coordinates):
Rb: 0.0000 0.0000 0.0000  6 I 3.74
Rb: 0.0000 0.0000 0.5000  6 I 3.74
Sc: 0.3333 0.6667 0.2500  6 I 2.91
Sc: 0.6667 0.3333 0.7500  6 I 2.91
Mn: 0.6667 0.3333 0.2500  6 I 2.91
Mn: 0.3333 0.6667 0.7500  6 I 2.91
I: 0.6281 0.6287 0.1492  1 Sc 2.91, 1 Mn 2.91
I: 0.0006 0.3719 0.1492  1 Sc 2.91, 1 Mn 2.91
I: 0.3719 0.0006 0.6492  1 Sc 2.91, 1 Mn 2.91
I: 0.9994 0.6281 0.8508  1 Sc 2.91, 1 Mn 2.91
I: 0.3713 0.3719 0.3508  1 Sc 2.91, 1 Mn 2.91
I: 0.0006 0.6287 0.3508  1 Sc 2.91, 1 Mn 2.91
I: 0.6287 0.0006 0.8508  1 Sc 2.91, 1 Mn 2.91
I: 0.6281 0.9994 0.3508  1 Sc 2.91, 1 Mn 2.91
I: 0.9994 0.3713 0.6492  1 Sc 2.91, 1 Mn 2.91
I: 0.3713 0.9994 0.1492  1 Sc 2.91, 1 Mn 2.91
I: 0.6287 0.6281 0.6492  1 Sc 2.91, 1 Mn 2.91
I: 0.3719 0.3713 0.8508  1 Sc 2.91, 1 Mn 2.91

---

(6)
Entry from the Alexandria database: a relaxed structure of Er6OsRu2 (GGA-PBE).

symmetry = Fmmm, No. 69
N(E_F) = 3.82 states/eV/cell
calculated total energy = -6.7057 eV/atom

abc: 4.7761 6.8417 7.5496
angles: 83.66 71.56 69.57
Closest atoms and distances in Å follow each position.
Atoms (fractional coordinates):
Er: 0.9609 0.2455 0.8327  3 Ru 2.89, 1 Os 2.89
Er: 0.2936 0.2454 0.1673  3 Ru 2.89, 1 Os 2.89
Er: 0.7064 0.7546 0.8327  3 Ru 2.89, 1 Os 2.89
Er: 0.3727 0.7546 0.5000  2 Os 2.89, 2 Ru 2.90
Er: 0.6273 0.2454 0.5000  2 Os 2.89, 2 Ru 2.90
Er: 0.0391 0.7545 0.1673  3 Ru 2.89, 1 Os 2.89
Os: 0.0000 0.5000 0.5000  8 Er 2.89
Ru: 0.3326 0.5000 0.8349  8 Er 2.89-2.90
Ru: 0.6674 0.5000 0.1651  8 Er 2.89-2.90

---

(7)
Entry from the Alexandria database: a relaxed structure of Tm4AlAg (GGA-PBE).

polymorph energy (0 for the lowest one) = 0 meV per atom
symmetry = Cm, No. 8
N(E_F) = 6.45 states/eV/cell

abc: 3.5198 6.2597 7.6290
angles: 96.01 103.31 106.37
Closest atoms and distances in Å follow each position.
Atoms (fractional coordinates):
Tm: 0.6445 0.2396 0.7979  2 Ag 3.04, 1 Al 3.12, 2 Tm 3.26-3.40
Tm: 0.5054 0.6652 0.0956  3 Ag 3.12-3.43, 2 Al 3.13
Tm: 0.9954 0.3433 0.3976  2 Ag 3.06, 3 Al 3.16-3.39
Tm: 0.8481 0.7471 0.7003  2 Al 3.03, 1 Ag 3.24, 1 Tm 3.26
Al: 0.2902 0.9119 0.4194  1 Ag 2.86, 7 Tm 3.03-3.16
Ag: 0.2164 0.0929 0.0892  1 Al 2.86, 6 Tm 3.04-3.12

---

(8)
Entry from the Alexandria database: a relaxed structure of K3MoN (GGA-PBE).

E_form (uncorrected) = 1392 meV per atom
polymorph energy (0 for the lowest one) = 0 meV per atom
symmetry = Pm-3m, No. 221
N(E_F) = 14.95 states/eV/cell

abc: 5.6323 5.6323 5.6323
angles: 90.00 90.00 90.00
Closest atoms and distances in Å follow each position.
Atoms (fractional coordinates):
Mo: 0.5000 0.5000 0.5000  12 K 3.98
K: 0.0000 0.5000 0.0000  2 N 2.82
K: 0.0000 0.0000 0.5000  2 N 2.82
K: 0.5000 0.0000 0.0000  2 N 2.82
N: 0.0000 0.0000 0.0000  6 K 2.82

---

(9)
Entry from the Alexandria database: a relaxed structure of Zr2CoRh (GGA-PBE).

polymorph energy (0 for the lowest one) = 432 meV per atom
symmetry = I-42d, No. 122
N(E_F) = 6.92 states/eV/cell

abc: 7.0311 7.0311 5.7629
angles: 52.41 52.41 90.00
Closest atoms and distances in Å follow each position.
Atoms (fractional coordinates):
Co: 0.5000 0.5000 0.0000  4 Zr 2.53
Co: 0.2500 0.7500 0.5000  4 Zr 2.53
Rh: 0.0000 0.0000 0.0000  4 Zr 2.66, 2 Co 2.91
Rh: 0.7500 0.2500 0.5000  4 Zr 2.66, 2 Co 2.91
Zr: 0.6116 0.1250 0.2500  2 Co 2.53, 2 Rh 2.66
Zr: 0.1384 0.6250 0.2500  2 Co 2.53, 2 Rh 2.66
Zr: 0.3750 0.3884 0.7500  2 Co 2.53, 2 Rh 2.66
Zr: 0.8750 0.8616 0.7500  2 Co 2.53, 2 Rh 2.66

---

(10)
Entry from the Alexandria database: a relaxed structure of BaZn (GGA-PBE).

symmetry = Imma, No. 74
N(E_F) = 3.62 states/eV/cell
calculated total energy = -1.7075 eV/atom

abc: 6.6709 6.6709 6.6709
angles: 144.78 129.09 63.42
Closest atoms and distances in Å follow each position.
Atoms (fractional coordinates):
Zn: 0.4478 0.4478 0.0000  2 Zn 2.61
Zn: 0.3022 0.8022 0.5000  2 Zn 2.61
Ba: 0.0290 0.0290 0.0000  2 Ba 3.60, 8 Zn 3.63-3.85
Ba: 0.7210 0.2210 0.5000  2 Ba 3.60, 8 Zn 3.63-3.85

---

(11)
Entry from the Alexandria database: a relaxed structure of CsKAu3 (GGA-PBE).

polymorph energy (0 for the lowest one) = 0 meV per atom
symmetry = R-3m, No. 166
N(E_F) = 2.03 states/eV/cell

abc: 7.0246 7.0246 8.6376
angles: 66.01 66.01 60.00
Closest atoms and distances in Å follow each position.
Atoms (fractional coordinates):
Cs: 0.1395 0.1395 0.5816  3 Au 3.44
Cs: 0.8605 0.8605 0.4184  3 Au 3.44
K: 0.4172 0.4172 0.7485  3 Au 3.13
K: 0.5828 0.5828 0.2515  3 Au 3.13
Au: 0.1658 0.1658 0.0973  4 Au 2.83-2.85, 1 K 3.13
Au: 0.1658 0.5710 0.0973  4 Au 2.83-2.85, 1 K 3.13
Au: 0.5710 0.1658 0.0973  4 Au 2.83-2.85, 1 K 3.13
Au: 0.8342 0.8342 0.9027  4 Au 2.83-2.85, 1 K 3.13
Au: 0.4290 0.8342 0.9027  4 Au 2.83-2.85, 1 K 3.13
Au: 0.8342 0.4290 0.9027  4 Au 2.83-2.85, 1 K 3.13